Record 1
First-principles (PBE-GGA) data for crystalline HfZnRu2 at its relaxed geometry, as listed in the Alexandria database.

The space group is I-42d (No. 122) and the conventional cell measures 3.9949, 3.9949 and 17.5390 Å, with angles of 90.00, 90.00 and 90.00 degrees. Symmetry generates all atoms from Hf at (0.0000, 0.0000, 0.0000), Zn at (0.0000, 0.0000, 0.5000) and Ru at (0.1838, 0.2500, 0.6250).

The value obtained for the formation energy is 0.2126 eV/atom. Its total energy is -28.93 eV per formula unit. The density of states at the Fermi level is 1.0477 states/eV per atom. As for the crystal system: tetragonal.

=====

Record 2
First-principles (PBE-GGA) data for crystalline HfZn2Ru2 at its relaxed geometry, as listed in the Alexandria database.

The space group is I4/mmm (No. 139) and the conventional cell measures 3.4328, 3.4328 and 13.6755 Å, with angles of 90.00, 90.00 and 90.00 degrees. Symmetry generates all atoms from Hf at (0.0000, 0.0000, 0.0000), Zn at (0.0000, 0.5000, 0.2500) and Ru at (0.0000, 0.0000, 0.3961).

For the energy relative to the lowest polymorph listed for this composition, the calculation gives 155 meV per atom. The value obtained for the formation energy is -0.0505 eV/atom. Its total energy is -31.31 eV per formula unit. The density of states at the Fermi level is 1.0230 states/eV per atom. As for the crystal system: tetragonal.

=====

Record 3
First-principles (PBE-GGA) data for crystalline Hf2ZrRu4 at its relaxed geometry, as listed in the Alexandria database.

The space group is I4/mmm (No. 139) and the conventional cell measures 6.3498, 6.3498 and 6.3226 Å, with angles of 90.00, 90.00 and 90.00 degrees. Symmetry generates all atoms from Hf at (0.0000, 0.5000, 0.0000), Zr at (0.0000, 0.0000, 0.0000) and Ru at (0.2500, 0.2500, 0.2500).

The value obtained for the formation energy is -0.1505 eV/atom. Its total energy is -66.61 eV per formula unit. The density of states at the Fermi level is 0.8126 states/eV per atom. As for the crystal system: tetragonal.

=====

Record 4
First-principles (PBE-GGA) data for crystalline HfZr2Ru2 at its relaxed geometry, as listed in the Alexandria database.

The space group is P4/mbm (No. 127) and the conventional cell measures 7.5214, 7.5214 and 3.3780 Å, with angles of 90.00, 90.00 and 90.00 degrees. Symmetry generates all atoms from Hf at (0.0000, 0.0000, 0.0000), Zr at (0.1611, 0.3389, 0.5000) and Ru at (0.1411, 0.6411, 0.0000).

For the energy relative to the lowest polymorph listed for this composition, the calculation gives 98 meV per atom. The value obtained for the formation energy is -0.3197 eV/atom. Its total energy is -47.20 eV per formula unit. The density of states at the Fermi level is 1.1362 states/eV per atom. As for the crystal system: tetragonal.

=====

Record 5
First-principles (PBE-GGA) data for crystalline HfZr4Ru5 at its relaxed geometry, as listed in the Alexandria database.

The space group is P4/mmm (No. 123) and the conventional cell measures 3.2667, 3.2667 and 16.3630 Å, with angles of 90.00, 90.00 and 90.00 degrees. Symmetry generates all atoms from Hf at (0.0000, 0.0000, 0.0000), Zr at (0.0000, 0.0000, 0.1992), Zr at (0.0000, 0.0000, 0.3998), Ru at (0.5000, 0.5000, 0.0979), Ru at (0.5000, 0.5000, 0.2991) and Ru at (0.5000, 0.5000, 0.5000).

The value obtained for the formation energy is -0.6785 eV/atom. Its total energy is -97.31 eV per formula unit. The density of states at the Fermi level is 0.3193 states/eV per atom. As for the crystal system: tetragonal.

=====

Record 6
First-principles (PBE-GGA) data for crystalline HfZr2Ru4 at its relaxed geometry, as listed in the Alexandria database.

The space group is I4/mmm (No. 139) and the conventional cell measures 6.3471, 6.3471 and 6.3828 Å, with angles of 90.00, 90.00 and 90.00 degrees. Symmetry generates all atoms from Hf at (0.0000, 0.0000, 0.0000), Zr at (0.0000, 0.5000, 0.0000) and Ru at (0.2500, 0.2500, 0.2500).

The value obtained for the formation energy is -0.1036 eV/atom. Its total energy is -64.88 eV per formula unit. The density of states at the Fermi level is 0.7783 states/eV per atom. As for the crystal system: tetragonal.

=====

Record 7
First-principles (PBE-GGA) data for crystalline Hf2ZrRu2 at its relaxed geometry, as listed in the Alexandria database.

The space group is I4/mmm (No. 139) and the conventional cell measures 4.2810, 4.2810 and 11.1689 Å, with angles of 90.00, 90.00 and 90.00 degrees. Symmetry generates all atoms from Hf at (0.0000, 0.5000, 0.2500), Zr at (0.0000, 0.0000, 0.0000) and Ru at (0.0000, 0.0000, 0.3904).

For the energy relative to the lowest polymorph listed for this composition, the calculation gives 226 meV per atom. The value obtained for the formation energy is -0.1633 eV/atom. Its total energy is -47.82 eV per formula unit. The density of states at the Fermi level is 1.2106 states/eV per atom. As for the crystal system: tetragonal.

=====

Record 8
First-principles (PBE-GGA) data for crystalline HfZr2Ru3 at its relaxed geometry, as listed in the Alexandria database.

The space group is P4/mmm (No. 123) and the conventional cell measures 3.2565, 3.2565 and 9.8485 Å, with angles of 90.00, 90.00 and 90.00 degrees. Symmetry generates all atoms from Hf at (0.0000, 0.0000, 0.0000), Zr at (0.0000, 0.0000, 0.3325), Ru at (0.5000, 0.5000, 0.1636) and Ru at (0.5000, 0.5000, 0.5000).

The value obtained for the formation energy is -0.7004 eV/atom. Its total energy is -59.08 eV per formula unit. The density of states at the Fermi level is 0.2793 states/eV per atom. As for the crystal system: tetragonal.

=====

Record 9
First-principles (PBE-GGA) data for crystalline HfZr2Ru at its relaxed geometry, as listed in the Alexandria database.

The space group is Fm-3m (No. 225) and the conventional cell measures 6.7871, 6.7871 and 6.7871 Å, with angles of 90.00, 90.00 and 90.00 degrees. Symmetry generates all atoms from Hf at (0.0000, 0.0000, 0.0000), Zr at (0.2500, 0.2500, 0.2500) and Ru at (0.0000, 0.0000, 0.5000).

For the energy relative to the lowest polymorph listed for this composition, the calculation gives 186 meV per atom. The value obtained for the formation energy is -0.0933 eV/atom. Its total energy is -36.70 eV per formula unit. The density of states at the Fermi level is 1.3703 states/eV per atom. As for the crystal system: cubic.

=====

Record 10
First-principles (PBE-GGA) data for crystalline HfZr2Ru at its relaxed geometry, as listed in the Alexandria database.

The space group is I-42d (No. 122) and the conventional cell measures 7.7527, 7.7527 and 5.7685 Å, with angles of 90.00, 90.00 and 90.00 degrees. Symmetry generates all atoms from Hf at (0.0000, 0.0000, 0.0000), Zr at (0.1995, 0.2500, 0.6250) and Ru at (0.0000, 0.0000, 0.5000).

For the energy relative to the lowest polymorph listed for this composition, the calculation gives 364 meV per atom. The value obtained for the formation energy is 0.0843 eV/atom. Its total energy is -35.99 eV per formula unit. The density of states at the Fermi level is 0.6338 states/eV per atom. As for the crystal system: tetragonal.

=====

Record 11
First-principles (PBE-GGA) data for crystalline Hf2ZrRu2 at its relaxed geometry, as listed in the Alexandria database.

The space group is Cmmm (No. 65) and the conventional cell measures 3.1830, 19.2893 and 3.1685 Å, with angles of 90.00, 90.00 and 90.00 degrees. Symmetry generates all atoms from Hf at (0.0000, 0.1725, 0.0000), Zr at (0.0000, 0.0000, 0.0000) and Ru at (0.0000, 0.4102, 0.5000).

For the energy relative to the lowest polymorph listed for this composition, the calculation gives 21 meV per atom. The value obtained for the formation energy is -0.3679 eV/atom. Its total energy is -48.85 eV per formula unit. The density of states at the Fermi level is 0.7138 states/eV per atom. As for the crystal system: orthorhombic.

=====

Record 12
First-principles (PBE-GGA) data for crystalline HfZr2Ru at its relaxed geometry, as listed in the Alexandria database.

The space group is P4/mmm (No. 123) and the conventional cell measures 3.2801, 3.2801 and 7.4608 Å, with angles of 90.00, 90.00 and 90.00 degrees. Symmetry generates all atoms from Hf at (0.0000, 0.0000, 0.0000), Zr at (0.5000, 0.5000, 0.2812) and Ru at (0.0000, 0.0000, 0.5000).

For the energy relative to the lowest polymorph listed for this composition, the calculation gives 0 meV per atom. The value obtained for the formation energy is -0.2796 eV/atom. Its total energy is -37.44 eV per formula unit. The density of states at the Fermi level is 1.0852 states/eV per atom. As for the crystal system: tetragonal.